[1]
{
  "formula": "TaC",
  "functional": "GGA-PBE",
  "state": "relaxed",
  "lattice_angstrom": [[2.798, 0.000, 0.000], [0.000, 2.798, 0.000], [0.000, 0.000, 2.798]],
  "species": ["Ta", "C"],
  "fractional_positions": [[0.500, 0.500, 0.500], [0.000, 0.000, 0.000]],
  "total_energy_ev_per_fu": -20.18,
  "m_tot_mub_per_fu": 0.00,
  "polymorph_energy_mev_per_atom": 1026,
  "e_form_ev_per_atom": 0.45
}


[2]
{
  "formula": "TaC2",
  "functional": "GGA-PBE",
  "state": "relaxed",
  "lattice_angstrom": [[-1.555, 2.242, 2.281], [1.555, -2.242, 2.281], [1.555, 2.242, -2.281]],
  "species": ["C", "C", "Ta"],
  "fractional_positions": [[0.652, 0.152, 0.500], [0.348, 0.848, 0.500], [0.000, 0.000, 0.000]],
  "total_energy_ev_per_fu": -29.06,
  "m_tot_mub_per_fu": 0.00,
  "polymorph_energy_mev_per_atom": 209,
  "e_form_ev_per_atom": 0.41
}


[3]
{
  "formula": "Ta2C",
  "functional": "GGA-PBE",
  "state": "relaxed",
  "lattice_angstrom": [[1.522, 5.034, -0.005], [-1.522, 5.034, -0.005], [0.000, 4.917, 5.711]],
  "species": ["Ta", "Ta", "Ta", "Ta", "C", "C"],
  "fractional_positions": [[0.427, 0.427, 0.885], [0.287, 0.287, 0.641], [0.713, 0.713, 0.359], [0.573, 0.573, 0.115], [0.076, 0.076, 0.620], [0.924, 0.924, 0.380]],
  "total_energy_ev_per_fu": -33.46,
  "m_tot_mub_per_fu": 0.00,
  "e_form_ev_per_atom": -0.18
}


[4]
{
  "formula": "TaC2",
  "functional": "GGA-PBE",
  "state": "relaxed",
  "lattice_angstrom": [[-2.267, 0.991, 4.447], [2.203, -4.109, 2.039], [2.514, 1.787, 0.884]],
  "species": ["Ta", "Ta", "C", "C", "C", "C"],
  "fractional_positions": [[0.000, 0.000, 0.500], [0.500, 0.500, 0.000], [0.296, 0.704, 0.500], [0.204, 0.204, 0.000], [0.704, 0.296, 0.500], [0.796, 0.796, 0.000]],
  "total_energy_ev_per_fu": -25.59,
  "m_tot_mub_per_fu": 0.00,
  "polymorph_energy_mev_per_atom": 1366,
  "e_form_ev_per_atom": 1.57
}


[5]
{
  "formula": "TaC2",
  "functional": "GGA-PBE",
  "state": "relaxed",
  "lattice_angstrom": [[-0.980, -1.724, 3.138], [2.836, -2.250, 0.820], [0.028, 3.630, -0.778]],
  "species": ["C", "C", "Ta"],
  "fractional_positions": [[0.617, 0.617, 0.000], [0.383, 0.383, 0.000], [0.000, 0.000, 0.000]],
  "total_energy_ev_per_fu": -28.63,
  "m_tot_mub_per_fu": 0.00,
  "polymorph_energy_mev_per_atom": 351,
  "e_form_ev_per_atom": 0.56
}


[6]
{
  "formula": "TaC2",
  "functional": "GGA-PBE",
  "state": "relaxed",
  "lattice_angstrom": [[1.474, 3.497, 1.122], [-2.162, -2.139, 2.531], [3.578, -1.957, 1.402]],
  "species": ["C", "C", "C", "C", "Ta", "Ta"],
  "fractional_positions": [[0.333, 0.667, 0.250], [0.000, 0.000, 0.000], [0.000, 0.000, 0.500], [0.667, 0.333, 0.750], [0.667, 0.333, 0.250], [0.333, 0.667, 0.750]],
  "total_energy_ev_per_fu": -26.62,
  "m_tot_mub_per_fu": 0.00,
  "polymorph_energy_mev_per_atom": 1021,
  "e_form_ev_per_atom": 1.23
}


[7]
{
  "formula": "TaC3",
  "functional": "GGA-PBE",
  "state": "relaxed",
  "lattice_angstrom": [[-0.884, -2.339, 1.445], [3.005, -0.351, 1.270], [0.043, 2.135, 3.482]],
  "species": ["C", "C", "C", "Ta"],
  "fractional_positions": [[0.000, 0.664, 0.441], [0.500, 0.750, 0.750], [0.000, 0.836, 0.059], [0.500, 0.250, 0.250]],
  "total_energy_ev_per_fu": -33.90,
  "m_tot_mub_per_fu": 0.00,
  "polymorph_energy_mev_per_atom": 819,
  "e_form_ev_per_atom": 1.41
}


[8]
{
  "formula": "TaC",
  "functional": "GGA-PBE",
  "state": "relaxed",
  "lattice_angstrom": [[-0.078, -5.158, -5.068], [6.398, 2.312, -2.452], [2.031, -2.719, 2.736]],
  "species": ["C", "C", "C", "C", "C", "C", "C", "C", "Ta", "Ta", "Ta", "Ta", "Ta", "Ta", "Ta", "Ta"],
  "fractional_positions": [[0.192, 0.391, 0.000], [0.308, 0.109, 0.500], [0.692, 0.891, 0.500], [0.109, 0.692, 0.500], [0.391, 0.808, 0.000], [0.609, 0.192, 0.000], [0.891, 0.308, 0.500], [0.808, 0.609, 0.000], [0.129, 0.671, 0.000], [0.671, 0.871, 0.000], [0.329, 0.129, 0.000], [0.629, 0.171, 0.500], [0.871, 0.329, 0.000], [0.829, 0.629, 0.500], [0.171, 0.371, 0.500], [0.371, 0.829, 0.500]],
  "total_energy_ev_per_fu": -21.75,
  "m_tot_mub_per_fu": 0.00,
  "polymorph_energy_mev_per_atom": 240,
  "e_form_ev_per_atom": -0.34
}


> Number 6 is which compound?

TaC2